# ZnNi PBE optimized geometry
# Energy of formation, meV per atom: -156
# Spin magnetization, μB per formula unit: 0.0
# Volume, Å³/f.u.: 24.09
# VASP energy, eV per formula unit: -7.1
data_ZnNi
_chemical_formula_sum 'Zn10 Ni10'
_space_group_name_H-M_alt 'A m m 2'
_space_group_IT_number 38
_cell_length_a 4.197
_cell_length_b 12.963
_cell_length_c 4.427
_cell_angle_alpha 90.00
_cell_angle_beta 90.00
_cell_angle_gamma 90.00
loop_
_space_group_symop_operation_xyz
'x,y,z'
'-x,-y,z'
'-x,y,z'
'x,-y,z'
'x,y+1/2,z+1/2'
'-x,-y+1/2,z+1/2'
'-x,y+1/2,z+1/2'
'x,-y+1/2,z+1/2'
loop_
_atom_site_label
_atom_site_type_symbol
_atom_site_fract_x
_atom_site_fract_y
_atom_site_fract_z
_atom_site_occupancy
Zn1 Zn 0.000 0.000 0.000 1
Zn2 Zn 0.000 0.197 0.988 1
Zn3 Zn 0.500 0.192 0.344 1
Ni1 Ni 0.000 0.097 0.498 1
Ni2 Ni 0.500 0.000 0.342 1
Ni3 Ni 0.500 0.099 0.835 1

# ZnNi PBE optimized geometry
# Energy of formation, meV per atom: -133
# Spin magnetization, μB per formula unit: 0.0
# Volume, Å³/f.u.: 24.17
# VASP energy, eV per formula unit: -7.1
data_ZnNi
_chemical_formula_sum 'Zn12 Ni12'
_space_group_name_H-M_alt 'P b c m'
_space_group_IT_number 57
_cell_length_a 5.174
_cell_length_b 13.284
_cell_length_c 4.219
_cell_angle_alpha 90.00
_cell_angle_beta 90.00
_cell_angle_gamma 90.00
loop_
_space_group_symop_operation_xyz
'x,y,z'
'-x,-y,-z'
'-x,-y,z+1/2'
'x,y,-z+1/2'
'x,-y+1/2,-z'
'-x,y+1/2,z'
'-x,y+1/2,-z+1/2'
'x,-y+1/2,z+1/2'
loop_
_atom_site_label
_atom_site_type_symbol
_atom_site_fract_x
_atom_site_fract_y
_atom_site_fract_z
_atom_site_occupancy
Zn1 Zn 0.114 0.134 0.250 1
Zn2 Zn 0.364 0.633 0.250 1
Zn3 Zn 0.377 0.188 0.750 1
Ni1 Ni 0.121 0.029 0.750 1
Ni2 Ni 0.126 0.696 0.750 1
Ni3 Ni 0.372 0.525 0.750 1

# ZnNi8 PBE optimized geometry
# Energy of formation, meV per atom: 110
# Spin magnetization, μB per formula unit: 4.1
# Volume, Å³/f.u.: 158.11
# VASP energy, eV per formula unit: -44.8
data_ZnNi8
_chemical_formula_sum 'Zn4 Ni32'
_space_group_name_H-M_alt 'C 1 2/m 1'
_space_group_IT_number 12
_cell_length_a 7.688
_cell_length_b 3.375
_cell_length_c 24.372
_cell_angle_alpha 90.00
_cell_angle_beta 90.25
_cell_angle_gamma 90.00
loop_
_space_group_symop_operation_xyz
'x,y,z'
'-x,-y,-z'
'-x,y,-z'
'x,-y,z'
'x+1/2,y+1/2,z'
'-x+1/2,-y+1/2,-z'
'-x+1/2,y+1/2,-z'
'x+1/2,-y+1/2,z'
loop_
_atom_site_label
_atom_site_type_symbol
_atom_site_fract_x
_atom_site_fract_y
_atom_site_fract_z
_atom_site_occupancy
Zn1 Zn 0.050 0.000 0.214 1
Ni1 Ni 0.050 0.500 0.383 1
Ni2 Ni 0.051 0.000 0.550 1
Ni3 Ni 0.052 0.500 0.718 1
Ni4 Ni 0.150 0.000 0.650 1
Ni5 Ni 0.150 0.500 0.483 1
Ni6 Ni 0.151 0.000 0.317 1
Ni7 Ni 0.249 0.000 0.417 1
Ni8 Ni 0.249 0.000 0.749 1

# Zn2Ni PBE optimized geometry
# Energy of formation, meV per atom: -151
# Spin magnetization, μB per formula unit: 0.0
# Volume, Å³/f.u.: 37.82
# VASP energy, eV per formula unit: -8.5
data_Zn2Ni
_chemical_formula_sum 'Zn8 Ni4'
_space_group_name_H-M_alt 'P m m n'
_space_group_IT_number 59
_cell_length_a 4.258
_cell_length_b 7.896
_cell_length_c 4.500
_cell_angle_alpha 90.00
_cell_angle_beta 90.00
_cell_angle_gamma 90.00
loop_
_space_group_symop_operation_xyz
'x,y,z'
'-x,-y,-z'
'-x+1/2,-y+1/2,z'
'x+1/2,y+1/2,-z'
'x+1/2,-y,-z'
'-x+1/2,y,z'
'-x,y+1/2,-z'
'x,-y+1/2,z'
loop_
_atom_site_label
_atom_site_type_symbol
_atom_site_fract_x
_atom_site_fract_y
_atom_site_fract_z
_atom_site_occupancy
Zn1 Zn 0.250 0.077 0.099 1
Zn2 Zn 0.250 0.250 0.577 1
Zn3 Zn 0.250 0.750 0.089 1
Ni1 Ni 0.250 0.584 0.591 1

# Zn3Ni PBE optimized geometry
# Energy of formation, meV per atom: -125
# Spin magnetization, μB per formula unit: 0.0
# Volume, Å³/f.u.: 51.90
# VASP energy, eV per formula unit: -9.9
data_Zn3Ni
_chemical_formula_sum 'Zn12 Ni4'
_space_group_name_H-M_alt 'C m c m'
_space_group_IT_number 63
_space_group_name_Hall '-C 2c 2'
_cell_length_a 5.268
_cell_length_b 9.153
_cell_length_c 4.305
_cell_angle_alpha 90.00
_cell_angle_beta 90.00
_cell_angle_gamma 90.00
loop_
_atom_site_label
_atom_site_type_symbol
_atom_site_fract_x
_atom_site_fract_y
_atom_site_fract_z
_atom_site_occupancy
Zn1 Zn 0.000 0.085 0.250 1
Zn2 Zn 0.241 0.339 0.250 1
Ni1 Ni 0.000 0.412 0.750 1

# ZnNi PBE optimized geometry
# Energy of formation, meV per atom: -198
# Spin magnetization, μB per formula unit: 0.0
# Volume, Å³/f.u.: 23.94
# VASP energy, eV per formula unit: -7.2
data_ZnNi
_chemical_formula_sum 'Zn4 Ni4'
_space_group_name_H-M_alt 'P n m a'
_space_group_IT_number 62
_cell_length_a 4.506
_cell_length_b 4.171
_cell_length_c 5.096
_cell_angle_alpha 90.00
_cell_angle_beta 90.00
_cell_angle_gamma 90.00
loop_
_space_group_symop_operation_xyz
'x,y,z'
'-x,-y,-z'
'-x+1/2,-y,z+1/2'
'x+1/2,y,-z+1/2'
'x+1/2,-y+1/2,-z+1/2'
'-x+1/2,y+1/2,z+1/2'
'-x,y+1/2,-z'
'x,-y+1/2,z'
loop_
_atom_site_label
_atom_site_type_symbol
_atom_site_fract_x
_atom_site_fract_y
_atom_site_fract_z
_atom_site_occupancy
Zn1 Zn 0.093 0.250 0.125 1
Ni1 Ni 0.083 0.250 0.624 1

# Zn3Ni2 PBE optimized geometry
# Energy of formation, meV per atom: 9
# Spin magnetization, μB per formula unit: 0.0
# Volume, Å³/f.u.: 65.59
# VASP energy, eV per formula unit: -14.9
data_Zn3Ni2
_chemical_formula_sum 'Zn18 Ni12'
_space_group_name_H-M_alt 'R -3 c'
_space_group_IT_number 167
_space_group_name_Hall '-R 3 2"c'
_cell_length_a 5.1236
_cell_length_b 5.1236
_cell_length_c 17.3098
_cell_angle_alpha 90.00
_cell_angle_beta 90.00
_cell_angle_gamma 120.00
loop_
_atom_site_label
_atom_site_type_symbol
_atom_site_fract_x
_atom_site_fract_y
_atom_site_fract_z
_atom_site_occupancy
Zn1 Zn 0.0000 0.4823 0.2500 1
Ni1 Ni 0.0000 0.0000 0.1870 1

# ZnNi PBE optimized geometry
# Energy of formation, meV per atom: 469
# Spin magnetization, μB per formula unit: 0.0
# Volume, Å³/f.u.: 33.85
# VASP energy, eV per formula unit: -5.9
data_ZnNi
_chemical_formula_sum 'Zn2 Ni2'
_space_group_name_H-M_alt 'P 63/m m c'
_space_group_IT_number 194
_space_group_name_Hall '-P 6c 2c'
_cell_length_a 4.0679
_cell_length_b 4.0679
_cell_length_c 4.7246
_cell_angle_alpha 90.00
_cell_angle_beta 90.00
_cell_angle_gamma 120.00
loop_
_atom_site_label
_atom_site_type_symbol
_atom_site_fract_x
_atom_site_fract_y
_atom_site_fract_z
_atom_site_occupancy
Zn1 Zn 0.3333 0.6667 0.2500 1
Ni1 Ni 0.3333 0.6667 0.7500 1

# Zn3Ni PBE optimized geometry
# Energy of formation, meV per atom: -167
# Spin magnetization, μB per formula unit: 0.0
# Volume, Å³/f.u.: 51.67
# VASP energy, eV per formula unit: -10.0
data_Zn3Ni
_chemical_formula_sum 'Zn6 Ni2'
_space_group_name_H-M_alt 'P 63/m m c'
_space_group_IT_number 194
_space_group_name_Hall '-P 6c 2c'
_cell_length_a 5.2900
_cell_length_b 5.2900
_cell_length_c 4.2644
_cell_angle_alpha 90.00
_cell_angle_beta 90.00
_cell_angle_gamma 120.00
loop_
_atom_site_label
_atom_site_type_symbol
_atom_site_fract_x
_atom_site_fract_y
_atom_site_fract_z
_atom_site_occupancy
Zn1 Zn 0.1702 0.3405 0.2500 1
Ni1 Ni 0.3333 0.6667 0.7500 1

# ZnNi PBE optimized geometry
# Energy of formation, meV per atom: -152
# Spin magnetization, μB per formula unit: 0.0
# Volume, Å³/f.u.: 24.10
# VASP energy, eV per formula unit: -7.1
data_ZnNi
_chemical_formula_sum 'Zn1 Ni1'
_space_group_name_H-M_alt 'P -6 m 2'
_space_group_IT_number 187
_space_group_name_Hall 'P -6 2'
_cell_length_a 2.6189
_cell_length_b 2.6189
_cell_length_c 4.0570
_cell_angle_alpha 90.00
_cell_angle_beta 90.00
_cell_angle_gamma 120.00
loop_
_atom_site_label
_atom_site_type_symbol
_atom_site_fract_x
_atom_site_fract_y
_atom_site_fract_z
_atom_site_occupancy
Zn1 Zn 0.0000 0.0000 0.0000 1
Ni1 Ni 0.3333 0.6667 0.5000 1

# ZnNi PBE optimized geometry
# Energy of formation, meV per atom: -160
# Spin magnetization, μB per formula unit: 0.0
# Volume, Å³/f.u.: 24.10
# VASP energy, eV per formula unit: -7.2
data_ZnNi
_chemical_formula_sum 'Zn10 Ni10'
_space_group_name_H-M_alt 'A m m 2'
_space_group_IT_number 38
_cell_length_a 4.185
_cell_length_b 12.953
_cell_length_c 4.445
_cell_angle_alpha 90.00
_cell_angle_beta 90.00
_cell_angle_gamma 90.00
loop_
_space_group_symop_operation_xyz
'x,y,z'
'-x,-y,z'
'-x,y,z'
'x,-y,z'
'x,y+1/2,z+1/2'
'-x,-y+1/2,z+1/2'
'-x,y+1/2,z+1/2'
'x,-y+1/2,z+1/2'
loop_
_atom_site_label
_atom_site_type_symbol
_atom_site_fract_x
_atom_site_fract_y
_atom_site_fract_z
_atom_site_occupancy
Zn1 Zn 0.000 0.000 0.000 1
Zn2 Zn 0.000 0.108 0.484 1
Zn3 Zn 0.500 0.107 0.832 1
Ni1 Ni 0.000 0.200 0.995 1
Ni2 Ni 0.500 0.000 0.333 1
Ni3 Ni 0.500 0.201 0.323 1

# Zn3Ni PBE optimized geometry
# Energy of formation, meV per atom: -169
# Spin magnetization, μB per formula unit: 0.0
# Volume, Å³/f.u.: 51.71
# VASP energy, eV per formula unit: -10.0
data_Zn3Ni
_chemical_formula_sum 'Zn6 Ni2'
_space_group_name_H-M_alt 'P m m n'
_space_group_IT_number 59
_cell_length_a 4.244
_cell_length_b 5.233
_cell_length_c 4.656
_cell_angle_alpha 90.00
_cell_angle_beta 90.00
_cell_angle_gamma 90.00
loop_
_space_group_symop_operation_xyz
'x,y,z'
'-x,-y,-z'
'-x+1/2,-y+1/2,z'
'x+1/2,y+1/2,-z'
'x+1/2,-y,-z'
'-x+1/2,y,z'
'-x,y+1/2,-z'
'x,-y+1/2,z'
loop_
_atom_site_label
_atom_site_type_symbol
_atom_site_fract_x
_atom_site_fract_y
_atom_site_fract_z
_atom_site_occupancy
Zn1 Zn 0.250 0.002 0.167 1
Zn2 Zn 0.250 0.750 0.651 1
Ni1 Ni 0.250 0.250 0.665 1

# ZnNi PBE optimized geometry
# Energy of formation, meV per atom: -250
# Spin magnetization, μB per formula unit: 0.0
# Volume, Å³/f.u.: 24.03
# VASP energy, eV per formula unit: -7.3
data_ZnNi
_chemical_formula_sum 'Zn1 Ni1'
_space_group_name_H-M_alt 'P m -3 m'
_space_group_IT_number 221
_space_group_name_Hall '-P 4 2 3'
_cell_length_a 2.886
_cell_length_b 2.886
_cell_length_c 2.886
_cell_angle_alpha 90.00
_cell_angle_beta 90.00
_cell_angle_gamma 90.00
loop_
_atom_site_label
_atom_site_type_symbol
_atom_site_fract_x
_atom_site_fract_y
_atom_site_fract_z
_atom_site_occupancy
Zn1 Zn 0.000 0.000 0.000 1
Ni1 Ni 0.500 0.500 0.500 1

# ZnNi124 PBE optimized geometry
# Energy of formation, meV per atom: -5
# Spin magnetization, μB per formula unit: 75.7
# Volume, Å³/f.u.: 1351.76
# VASP energy, eV per formula unit: -692.3
data_ZnNi124
_chemical_formula_sum 'Zn4 Ni496'
_space_group_name_H-M_alt 'F m -3 m'
_space_group_IT_number 225
_space_group_name_Hall '-F 4 2 3'
_cell_length_a 17.552
_cell_length_b 17.552
_cell_length_c 17.552
_cell_angle_alpha 90.00
_cell_angle_beta 90.00
_cell_angle_gamma 90.00
loop_
_atom_site_label
_atom_site_type_symbol
_atom_site_fract_x
_atom_site_fract_y
_atom_site_fract_z
_atom_site_occupancy
Zn1 Zn 0.000 0.000 0.000 1
Ni1 Ni 0.000 0.000 0.200 1
Ni2 Ni 0.000 0.000 0.400 1
Ni3 Ni 0.000 0.100 0.300 1
Ni4 Ni 0.000 0.101 0.101 1
Ni5 Ni 0.000 0.200 0.200 1
Ni6 Ni 0.100 0.100 0.200 1
Ni7 Ni 0.100 0.100 0.400 1
Ni8 Ni 0.100 0.200 0.300 1
Ni9 Ni 0.200 0.200 0.200 1

# ZnNi17 PBE optimized geometry
# Energy of formation, meV per atom: 94
# Spin magnetization, μB per formula unit: 9.0
# Volume, Å³/f.u.: 328.57
# VASP energy, eV per formula unit: -94.2
data_ZnNi17
_chemical_formula_sum 'Zn2 Ni34'
_space_group_name_H-M_alt 'P 1 21/m 1'
_space_group_IT_number 11
_cell_length_a 4.283
_cell_length_b 4.950
_cell_length_c 30.992
_cell_angle_alpha 90.00
_cell_angle_beta 90.06
_cell_angle_gamma 90.00
loop_
_space_group_symop_operation_xyz
'x,y,z'
'-x,-y,-z'
'-x,y+1/2,-z'
'x,-y+1/2,z'
loop_
_atom_site_label
_atom_site_type_symbol
_atom_site_fract_x
_atom_site_fract_y
_atom_site_fract_z
_atom_site_occupancy
Zn1 Zn 0.166 0.250 0.269 1
Ni1 Ni 0.000 0.000 0.000 1
Ni2 Ni 0.000 0.000 0.196 1
Ni3 Ni 0.166 0.250 0.065 1
Ni4 Ni 0.166 0.250 0.870 1
Ni5 Ni 0.166 0.750 0.869 1
Ni6 Ni 0.167 0.750 0.065 1
Ni7 Ni 0.168 0.750 0.261 1
Ni8 Ni 0.333 0.000 0.131 1
Ni9 Ni 0.333 0.000 0.935 1
Ni10 Ni 0.334 0.004 0.739 1
Ni11 Ni 0.499 0.250 0.197 1
Ni12 Ni 0.499 0.250 0.804 1
Ni13 Ni 0.500 0.250 0.000 1

# ZrZn2Ni PBE optimized geometry
# Energy of formation, meV per atom: -321
# Spin magnetization, μB per formula unit: 0.0
# Volume, Å³/f.u.: 60.45
# VASP energy, eV per formula unit: -17.9
data_ZrZn2Ni
_chemical_formula_sum 'Zr4 Zn8 Ni4'
_space_group_name_H-M_alt 'F -4 3 m'
_space_group_IT_number 216
_space_group_name_Hall 'F -4 2 3'
_cell_length_a 6.230
_cell_length_b 6.230
_cell_length_c 6.230
_cell_angle_alpha 90.00
_cell_angle_beta 90.00
_cell_angle_gamma 90.00
loop_
_atom_site_label
_atom_site_type_symbol
_atom_site_fract_x
_atom_site_fract_y
_atom_site_fract_z
_atom_site_occupancy
Zr1 Zr 0.000 0.000 0.000 1
Zn1 Zn 0.000 0.000 0.500 1
Zn2 Zn 0.250 0.250 0.750 1
Ni1 Ni 0.250 0.250 0.250 1